No. 1
# HoMgP2 | the Alexandria database | GGA-PBE | relaxed
# E_tot	-20.437	eV/f.u.
# DFT formation energy	-83.1	kJ/mol of atoms
# energy above the lowest structure with this stoichiometry	8	meV per atom
# Fermi-level density of states	8.419	states/eV per cell
# magnetic moment	0.00	μB/cell
data_HoMgP2
_space_group_name_H-M_alt 'R -3 m'
_space_group_IT_number 166
_space_group_name_Hall '-R 3 2"'
_cell_length_a 3.9680
_cell_length_b 3.9680
_cell_length_c 18.4601
_cell_angle_alpha 90.00
_cell_angle_beta 90.00
_cell_angle_gamma 120.00
loop_
_atom_site_label
_atom_site_type_symbol
_atom_site_fract_x
_atom_site_fract_y
_atom_site_fract_z
_atom_site_occupancy
Ho1 Ho 0.0000 0.0000 0.0000 1
Mg1 Mg 0.0000 0.0000 0.5000 1
P1 P 0.0000 0.0000 0.2471 1

***

No. 2
# Mo2RuW | the Alexandria database | GGA-PBE | relaxed
# E_tot	-43.431	eV/f.u.
# DFT formation energy	11.1	kJ/mol of atoms
# energy above the lowest structure with this stoichiometry	6	meV per atom
# Fermi-level density of states	7.563	states/eV per cell
# magnetic moment	0.00	μB/cell
data_Mo2RuW
_space_group_name_H-M_alt 'I m m m'
_space_group_IT_number 71
_space_group_name_Hall '-I 2 2'
_cell_length_a 3.1456
_cell_length_b 4.4571
_cell_length_c 8.8780
_cell_angle_alpha 90.00
_cell_angle_beta 90.00
_cell_angle_gamma 90.00
loop_
_atom_site_label
_atom_site_type_symbol
_atom_site_fract_x
_atom_site_fract_y
_atom_site_fract_z
_atom_site_occupancy
Mo1 Mo 0.0000 0.0000 0.2398 1
Ru1 Ru 0.0000 0.5000 0.0000 1
W1 W 0.0000 0.5000 0.5000 1

***

No. 3
# SiPt4Pb | the Alexandria database | GGA-PBE | relaxed
# E_tot	-35.549	eV/f.u.
# energy above the lowest structure with this stoichiometry	0	meV per atom
# Fermi-level density of states	2.765	states/eV per cell
# raw formation energy	-0.376	eV/atom
# magnetic moment	0.00	μB/cell
data_SiPt4Pb
_space_group_name_H-M_alt 'C 1 2/m 1'
_space_group_IT_number 12
_space_group_name_Hall '-C 2y'
_cell_length_a 6.9721
_cell_length_b 4.0916
_cell_length_c 8.0016
_cell_angle_alpha 90.00
_cell_angle_beta 106.15
_cell_angle_gamma 90.00
loop_
_atom_site_label
_atom_site_type_symbol
_atom_site_fract_x
_atom_site_fract_y
_atom_site_fract_z
_atom_site_occupancy
Si1 Si 0.0000 0.0000 0.0000 1
Pt1 Pt 0.1020 0.0000 0.3100 1
Pt2 Pt 0.2010 0.5000 0.1079 1
Pb1 Pb 0.0000 0.5000 0.5000 1

***

No. 4
# Mn3CoPt4 | the Alexandria database | GGA-PBE | relaxed
# E_tot	-60.919	eV/f.u.
# DFT formation energy	-25.8	kJ/mol of atoms
# Fermi-level density of states	12.462	states/eV per cell
# magnetic moment	29.47	μB/cell
data_Mn3CoPt4
_space_group_name_H-M_alt 'P m m a'
_space_group_IT_number 51
_space_group_name_Hall '-P 2a 2a'
_cell_length_a 8.9735
_cell_length_b 5.6291
_cell_length_c 4.6325
_cell_angle_alpha 90.00
_cell_angle_beta 90.00
_cell_angle_gamma 90.00
loop_
_atom_site_label
_atom_site_type_symbol
_atom_site_fract_x
_atom_site_fract_y
_atom_site_fract_z
_atom_site_occupancy
Mn1 Mn 0.0000 0.0000 0.0000 1
Mn2 Mn 0.2500 0.0000 0.3863 1
Mn3 Mn 0.2500 0.5000 0.3691 1
Co1 Co 0.0000 0.5000 0.0000 1
Pt1 Pt 0.0000 0.2531 0.5000 1
Pt2 Pt 0.2500 0.2530 0.8807 1

***

No. 5
# CaYZrTl2 | the Alexandria database | GGA-PBE | relaxed
# E_tot	-18.815	eV/f.u.
# DFT formation energy	56.6	kJ/mol of atoms
# Fermi-level density of states	6.192	states/eV per cell
# magnetic moment	0.05	μB/cell
data_CaYZrTl2
_space_group_name_H-M_alt 'P 4/m m m'
_space_group_IT_number 123
_space_group_name_Hall '-P 4 2'
_cell_length_a 5.5970
_cell_length_b 5.5970
_cell_length_c 5.4149
_cell_angle_alpha 90.00
_cell_angle_beta 90.00
_cell_angle_gamma 90.00
loop_
_atom_site_label
_atom_site_type_symbol
_atom_site_fract_x
_atom_site_fract_y
_atom_site_fract_z
_atom_site_occupancy
Ca1 Ca 0.0000 0.0000 0.0000 1
Y1 Y 0.5000 0.5000 0.0000 1
Zr1 Zr 0.0000 0.0000 0.5000 1
Tl1 Tl 0.0000 0.5000 0.5000 1

***

No. 6
# Tb5CeSb5 | the Alexandria database | GGA-PBE | relaxed
# E_tot	-59.978	eV/f.u.
# Fermi-level density of states	20.288	states/eV per cell
# raw formation energy	-0.935	eV/atom
# magnetic moment	1.61	μB/cell
data_Tb5CeSb5
_space_group_name_H-M_alt 'C 1 2/m 1'
_space_group_IT_number 12
_space_group_name_Hall '-C 2y'
_cell_length_a 13.7892
_cell_length_b 6.2016
_cell_length_c 8.7369
_cell_angle_alpha 90.00
_cell_angle_beta 108.32
_cell_angle_gamma 90.00
loop_
_atom_site_label
_atom_site_type_symbol
_atom_site_fract_x
_atom_site_fract_y
_atom_site_fract_z
_atom_site_occupancy
Tb1 Tb 0.0000 0.0000 0.0000 1
Tb2 Tb 0.1648 0.5000 0.8347 1
Tb3 Tb 0.1665 0.5000 0.3326 1
Ce1 Ce 0.0000 0.0000 0.5000 1
Sb1 Sb 0.0000 0.5000 0.5000 1
Sb2 Sb 0.1678 0.0000 0.8377 1
Sb3 Sb 0.1694 0.0000 0.3300 1

***

No. 7
# IrPbCl2 | the Alexandria database | GGA-PBE | relaxed
# E_tot	-14.168	eV/f.u.
# energy above the lowest structure with this stoichiometry	623	meV per atom
# Fermi-level density of states	25.043	states/eV per cell
# raw formation energy	0.524	eV/atom
# magnetic moment	2.39	μB/cell
data_IrPbCl2
_space_group_name_H-M_alt 'F -4 3 m'
_space_group_IT_number 216
_space_group_name_Hall 'F -4 2 3'
_cell_length_a 6.9006
_cell_length_b 6.9006
_cell_length_c 6.9006
_cell_angle_alpha 90.00
_cell_angle_beta 90.00
_cell_angle_gamma 90.00
loop_
_atom_site_label
_atom_site_type_symbol
_atom_site_fract_x
_atom_site_fract_y
_atom_site_fract_z
_atom_site_occupancy
Ir1 Ir 0.0000 0.0000 0.0000 1
Pb1 Pb 0.2500 0.2500 0.7500 1
Cl1 Cl 0.0000 0.0000 0.5000 1
Cl2 Cl 0.2500 0.2500 0.2500 1

***

No. 8
# Tb6DyIn2 | the Alexandria database | GGA-PBE | relaxed
# E_tot	-32.792	eV/f.u.
# DFT formation energy	54.3	kJ/mol of atoms
# energy above the lowest structure with this stoichiometry	763	meV per atom
# Fermi-level density of states	22.275	states/eV per cell
# magnetic moment	0.01	μB/cell
data_Tb6DyIn2
_space_group_name_H-M_alt 'I -4 2 m'
_space_group_IT_number 121
_space_group_name_Hall 'I -4 2'
_cell_length_a 5.6935
_cell_length_b 5.6935
_cell_length_c 21.1302
_cell_angle_alpha 90.00
_cell_angle_beta 90.00
_cell_angle_gamma 90.00
loop_
_atom_site_label
_atom_site_type_symbol
_atom_site_fract_x
_atom_site_fract_y
_atom_site_fract_z
_atom_site_occupancy
Tb1 Tb 0.0000 0.5000 0.2500 1
Tb2 Tb 0.1914 0.1914 0.0683 1
Dy1 Dy 0.0000 0.0000 0.5000 1
In1 In 0.0000 0.0000 0.1915 1

***

No. 9
# Sr2LaBe | the Alexandria database | GGA-PBE | relaxed
# E_tot	-9.783	eV/f.u.
# DFT formation energy	53.9	kJ/mol of atoms
# Fermi-level density of states	12.601	states/eV per cell
# magnetic moment	0.00	μB/cell
data_Sr2LaBe
_space_group_name_H-M_alt 'I 4/m m m'
_space_group_IT_number 139
_space_group_name_Hall '-I 4 2'
_cell_length_a 4.9606
_cell_length_b 4.9606
_cell_length_c 11.2462
_cell_angle_alpha 90.00
_cell_angle_beta 90.00
_cell_angle_gamma 90.00
loop_
_atom_site_label
_atom_site_type_symbol
_atom_site_fract_x
_atom_site_fract_y
_atom_site_fract_z
_atom_site_occupancy
Sr1 Sr 0.0000 0.5000 0.2500 1
La1 La 0.0000 0.0000 0.0000 1
Be1 Be 0.0000 0.0000 0.5000 1

***

No. 10
# AgP2Ir | the Alexandria database | GGA-PBE | relaxed
# E_tot	-21.290	eV/f.u.
# DFT formation energy	29.9	kJ/mol of atoms
# energy above the lowest structure with this stoichiometry	358	meV per atom
# Fermi-level density of states	5.169	states/eV per cell
# magnetic moment	0.00	μB/cell
data_AgP2Ir
_space_group_name_H-M_alt 'F m -3 m'
_space_group_IT_number 225
_space_group_name_Hall '-F 4 2 3'
_cell_length_a 6.2068
_cell_length_b 6.2068
_cell_length_c 6.2068
_cell_angle_alpha 90.00
_cell_angle_beta 90.00
_cell_angle_gamma 90.00
loop_
_atom_site_label
_atom_site_type_symbol
_atom_site_fract_x
_atom_site_fract_y
_atom_site_fract_z
_atom_site_occupancy
Ag1 Ag 0.0000 0.0000 0.0000 1
P1 P 0.2500 0.2500 0.2500 1
Ir1 Ir 0.0000 0.0000 0.5000 1

***

No. 11
# Cs3ZnI5 | the Alexandria database | GGA-PBE | relaxed
# E_tot	-22.955	eV/f.u.
# energy above the lowest structure with this stoichiometry	0	meV per atom
# Fermi-level density of states	0.000	states/eV per cell
# raw formation energy	-1.263	eV/atom
# magnetic moment	0.00	μB/cell
data_Cs3ZnI5
_space_group_name_H-M_alt 'P n m a'
_space_group_IT_number 62
_space_group_name_Hall '-P 2ac 2n'
_cell_length_a 10.2694
_cell_length_b 11.8105
_cell_length_c 15.1390
_cell_angle_alpha 90.00
_cell_angle_beta 90.00
_cell_angle_gamma 90.00
loop_
_atom_site_label
_atom_site_type_symbol
_atom_site_fract_x
_atom_site_fract_y
_atom_site_fract_z
_atom_site_occupancy
Cs1 Cs 0.0855 0.0157 0.1736 1
Cs2 Cs 0.0855 0.2500 0.4513 1
Zn1 Zn 0.1870 0.2500 0.8949 1
I1 I 0.0324 0.7500 0.0116 1
I2 I 0.1366 0.2500 0.7244 1
I3 I 0.1650 0.7500 0.7395 1
I4 I 0.1883 0.5629 0.4382 1

***

No. 12
# RbHg2GeAu | the Alexandria database | GGA-PBE | relaxed
# E_tot	-9.816	eV/f.u.
# DFT formation energy	-6.8	kJ/mol of atoms
# Fermi-level density of states	2.783	states/eV per cell
# magnetic moment	0.00	μB/cell
data_RbHg2GeAu
_space_group_name_H-M_alt 'P 4/m m m'
_space_group_IT_number 123
_space_group_name_Hall '-P 4 2'
_cell_length_a 5.7204
_cell_length_b 5.7204
_cell_length_c 4.9415
_cell_angle_alpha 90.00
_cell_angle_beta 90.00
_cell_angle_gamma 90.00
loop_
_atom_site_label
_atom_site_type_symbol
_atom_site_fract_x
_atom_site_fract_y
_atom_site_fract_z
_atom_site_occupancy
Rb1 Rb 0.0000 0.0000 0.0000 1
Hg1 Hg 0.0000 0.5000 0.5000 1
Ge1 Ge 0.5000 0.5000 0.5000 1
Au1 Au 0.5000 0.5000 0.0000 1

***

No. 13
# Rb2BiC | the Alexandria database | GGA-PBE | relaxed
# E_tot	-9.727	eV/f.u.
# DFT formation energy	128.2	kJ/mol of atoms
# energy above the lowest structure with this stoichiometry	551	meV per atom
# Fermi-level density of states	18.840	states/eV per cell
# magnetic moment	4.00	μB/cell
data_Rb2BiC
_space_group_name_H-M_alt 'F m -3 m'
_space_group_IT_number 225
_space_group_name_Hall '-F 4 2 3'
_cell_length_a 8.5711
_cell_length_b 8.5711
_cell_length_c 8.5711
_cell_angle_alpha 90.00
_cell_angle_beta 90.00
_cell_angle_gamma 90.00
loop_
_atom_site_label
_atom_site_type_symbol
_atom_site_fract_x
_atom_site_fract_y
_atom_site_fract_z
_atom_site_occupancy
Rb1 Rb 0.2500 0.2500 0.2500 1
Bi1 Bi 0.0000 0.0000 0.0000 1
C1 C 0.0000 0.0000 0.5000 1

***

No. 14
# La4TeIr2 | the Alexandria database | GGA-PBE | relaxed
# E_tot	-47.228	eV/f.u.
# Fermi-level density of states	8.562	states/eV per cell
# raw formation energy	-0.951	eV/atom
# magnetic moment	0.00	μB/cell
data_La4TeIr2
_space_group_name_H-M_alt 'R -3 m'
_space_group_IT_number 166
_space_group_name_Hall '-R 3 2"'
_cell_length_a 4.2872
_cell_length_b 4.2872
_cell_length_c 42.1721
_cell_angle_alpha 90.00
_cell_angle_beta 90.00
_cell_angle_gamma 120.00
loop_
_atom_site_label
_atom_site_type_symbol
_atom_site_fract_x
_atom_site_fract_y
_atom_site_fract_z
_atom_site_occupancy
La1 La 0.0000 0.0000 0.1253 1
La2 La 0.0000 0.0000 0.2808 1
Te1 Te 0.0000 0.0000 0.0000 1
Ir1 Ir 0.0000 0.0000 0.4250 1

***

No. 15
# YIn2Ir | the Alexandria database | GGA-PBE | relaxed
# E_tot	-21.984	eV/f.u.
# DFT formation energy	-28.5	kJ/mol of atoms
# Fermi-level density of states	5.138	states/eV per cell
# magnetic moment	0.00	μB/cell
data_YIn2Ir
_space_group_name_H-M_alt 'C 1 2/m 1'
_space_group_IT_number 12
_space_group_name_Hall '-C 2y'
_cell_length_a 8.6018
_cell_length_b 4.2034
_cell_length_c 5.3666
_cell_angle_alpha 90.00
_cell_angle_beta 112.40
_cell_angle_gamma 90.00
loop_
_atom_site_label
_atom_site_type_symbol
_atom_site_fract_x
_atom_site_fract_y
_atom_site_fract_z
_atom_site_occupancy
Y1 Y 0.0000 0.0000 0.0000 1
In1 In 0.2259 0.0000 0.6789 1
Ir1 Ir 0.0000 0.5000 0.5000 1

***

No. 16
# AcCd2Cu2Ge | the Alexandria database | GGA-PBE | relaxed
# E_tot	-19.255	eV/f.u.
# DFT formation energy	-8.1	kJ/mol of atoms
# Fermi-level density of states	6.443	states/eV per cell
# magnetic moment	0.00	μB/cell
data_AcCd2Cu2Ge
_space_group_name_H-M_alt 'I 4/m m m'
_space_group_IT_number 139
_space_group_name_Hall '-I 4 2'
_cell_length_a 4.8594
_cell_length_b 4.8594
_cell_length_c 12.1322
_cell_angle_alpha 90.00
_cell_angle_beta 90.00
_cell_angle_gamma 90.00
loop_
_atom_site_label
_atom_site_type_symbol
_atom_site_fract_x
_atom_site_fract_y
_atom_site_fract_z
_atom_site_occupancy
Ac1 Ac 0.0000 0.0000 0.0000 1
Cd1 Cd 0.0000 0.5000 0.2500 1
Cu1 Cu 0.0000 0.0000 0.3139 1
Ge1 Ge 0.0000 0.0000 0.5000 1

***

No. 17
# ReHg2Te | the Alexandria database | GGA-PBE | relaxed
# E_tot	-12.840	eV/f.u.
# energy above the lowest structure with this stoichiometry	433	meV per atom
# Fermi-level density of states	3.080	states/eV per cell
# raw formation energy	0.838	eV/atom
# magnetic moment	0.48	μB/cell
data_ReHg2Te
_space_group_name_H-M_alt 'P 4/m m m'
_space_group_IT_number 123
_space_group_name_Hall '-P 4 2'
_cell_length_a 2.9500
_cell_length_b 2.9500
_cell_length_c 10.9005
_cell_angle_alpha 90.00
_cell_angle_beta 90.00
_cell_angle_gamma 90.00
loop_
_atom_site_label
_atom_site_type_symbol
_atom_site_fract_x
_atom_site_fract_y
_atom_site_fract_z
_atom_site_occupancy
Re1 Re 0.0000 0.0000 0.0000 1
Hg1 Hg 0.5000 0.5000 0.1908 1
Te1 Te 0.0000 0.0000 0.5000 1

***

No. 18
# PbW2Br | the Alexandria database | GGA-PBE | relaxed
# E_tot	-29.810	eV/f.u.
# energy above the lowest structure with this stoichiometry	13	meV per atom
# Fermi-level density of states	7.193	states/eV per cell
# raw formation energy	0.369	eV/atom
# magnetic moment	0.00	μB/cell
data_PbW2Br
_space_group_name_H-M_alt 'R 3 m'
_space_group_IT_number 160
_space_group_name_Hall 'R 3 -2"'
_cell_length_a 3.2507
_cell_length_b 3.2507
_cell_length_c 30.9174
_cell_angle_alpha 90.00
_cell_angle_beta 90.00
_cell_angle_gamma 120.00
loop_
_atom_site_label
_atom_site_type_symbol
_atom_site_fract_x
_atom_site_fract_y
_atom_site_fract_z
_atom_site_occupancy
Pb1 Pb 0.0000 0.0000 0.0000 1
W1 W 0.0000 0.0000 0.1905 1
W2 W 0.0000 0.0000 0.5804 1
Br1 Br 0.0000 0.0000 0.4588 1

***

No. 19
# As2RhSe | the Alexandria database | GGA-PBE | relaxed
# E_tot	-19.100	eV/f.u.
# Fermi-level density of states	2.030	states/eV per cell
# raw formation energy	0.259	eV/atom
# magnetic moment	0.00	μB/cell
data_As2RhSe
_space_group_name_H-M_alt 'P m m m'
_space_group_IT_number 47
_space_group_name_Hall '-P 2 2'
_cell_length_a 3.1754
_cell_length_b 4.5829
_cell_length_c 4.7567
_cell_angle_alpha 90.00
_cell_angle_beta 90.00
_cell_angle_gamma 90.00
loop_
_atom_site_label
_atom_site_type_symbol
_atom_site_fract_x
_atom_site_fract_y
_atom_site_fract_z
_atom_site_occupancy
As1 As 0.0000 0.0000 0.0000 1
As2 As 0.5000 0.5000 0.0000 1
Rh1 Rh 0.0000 0.5000 0.5000 1
Se1 Se 0.5000 0.0000 0.5000 1

***

No. 20
# LiTbU2Se5 | the Alexandria database | GGA-PBE | relaxed
# E_tot	-58.146	eV/f.u.
# Fermi-level density of states	50.439	states/eV per cell
# raw formation energy	-1.289	eV/atom
# magnetic moment	23.16	μB/cell
data_LiTbU2Se5
_space_group_name_H-M_alt 'C m c 21'
_space_group_IT_number 36
_space_group_name_Hall 'C 2c -2'
_cell_length_a 4.0171
_cell_length_b 17.1444
_cell_length_c 12.3744
_cell_angle_alpha 90.00
_cell_angle_beta 90.00
_cell_angle_gamma 90.00
loop_
_atom_site_label
_atom_site_type_symbol
_atom_site_fract_x
_atom_site_fract_y
_atom_site_fract_z
_atom_site_occupancy
Li1 Li 0.0000 0.0153 0.0000 1
Tb1 Tb 0.0000 0.3024 0.5219 1
U1 U 0.0000 0.3725 0.8196 1
U2 U 0.0000 0.3920 0.2026 1
Se1 Se 0.0000 0.0011 0.3041 1
Se2 Se 0.0000 0.1360 0.5197 1
Se3 Se 0.0000 0.1888 0.8599 1
Se4 Se 0.0000 0.2135 0.1868 1
Se5 Se 0.0000 0.4534 0.5978 1